No. 1
Computed, not measured: CuP2 at its PBEsol-relaxed geometry at the meta-GGA SCAN level of DFT.

Computed properties:
**Calculated total energy**: -0.435 hartree per atom
**DFT formation energy**: 15 kJ per mole of atoms

The structure in CIF format:
```
data_CuP2
_chemical_formula_sum 'Cu4 P8'
_cell_length_a 11.602
_cell_length_b 2.466
_cell_length_c 6.359
_cell_angle_alpha 90.00
_cell_angle_beta 103.26
_cell_angle_gamma 90.00
_space_group_name_H-M_alt 'C 1 2/m 1'
_space_group_IT_number 12
_space_group_name_Hall '-C 2y'
loop_
_atom_site_label
_atom_site_fract_x
_atom_site_fract_y
_atom_site_fract_z
Cu1 0.106 0.000 0.399
P1 0.036 0.500 0.848
P2 0.202 0.500 0.710
```

No. 2
Computed, not measured: Cu2P3 at its PBEsol-relaxed geometry at the meta-GGA SCAN level of DFT.

Computed properties:
**Calculated total energy**: -0.446 hartree per atom
**DFT formation energy**: 17 kJ per mole of atoms

The structure in CIF format:
```
data_Cu2P3
_chemical_formula_sum 'Cu6 P9'
_cell_length_a 3.2103
_cell_length_b 3.2103
_cell_length_c 22.8979
_cell_angle_alpha 90.00
_cell_angle_beta 90.00
_cell_angle_gamma 120.00
_space_group_name_H-M_alt 'R -3 m'
_space_group_IT_number 166
_space_group_name_Hall '-R 3 2"'
loop_
_atom_site_label
_atom_site_fract_x
_atom_site_fract_y
_atom_site_fract_z
Cu1 0.0000 0.0000 0.1003
P1 0.0000 0.0000 0.3034
P2 0.0000 0.0000 0.5000
```

No. 3
Computed, not measured: Cu8P at its PBEsol-relaxed geometry at the meta-GGA SCAN level of DFT.

Computed properties:
**Calculated total energy**: -0.539 hartree per atom
**DFT formation energy**: 1 kJ per mole of atoms

The structure in CIF format:
```
data_Cu8P
_chemical_formula_sum 'Cu16 P2'
_cell_length_a 7.554
_cell_length_b 7.554
_cell_length_c 3.584
_cell_angle_alpha 90.00
_cell_angle_beta 90.00
_cell_angle_gamma 90.00
_space_group_name_H-M_alt 'I 4/m m m'
_space_group_IT_number 139
_space_group_name_Hall '-I 4 2'
loop_
_atom_site_label
_atom_site_fract_x
_atom_site_fract_y
_atom_site_fract_z
Cu1 0.000 0.333 0.000
Cu2 0.166 0.166 0.500
P1 0.000 0.000 0.000
```

No. 4
Computed, not measured: CuP at its PBEsol-relaxed geometry at the meta-GGA SCAN level of DFT.

Computed properties:
**Calculated total energy**: -0.463 hartree per atom
**DFT formation energy**: 18 kJ per mole of atoms

The structure in CIF format:
```
data_CuP
_chemical_formula_sum 'Cu4 P4'
_cell_length_a 2.480
_cell_length_b 11.948
_cell_length_c 3.517
_cell_angle_alpha 90.00
_cell_angle_beta 90.00
_cell_angle_gamma 90.00
_space_group_name_H-M_alt 'C m c m'
_space_group_IT_number 63
_space_group_name_Hall '-C 2c 2'
loop_
_atom_site_label
_atom_site_fract_x
_atom_site_fract_y
_atom_site_fract_z
Cu1 0.000 0.190 0.250
P1 0.000 0.409 0.250
```

No. 5
Computed, not measured: CuP at its PBEsol-relaxed geometry at the meta-GGA SCAN level of DFT.

Computed properties:
**Calculated total energy**: -0.456 hartree per atom
**DFT formation energy**: 39 kJ per mole of atoms

The structure in CIF format:
```
data_CuP
_chemical_formula_sum 'Cu2 P2'
_cell_length_a 3.803
_cell_length_b 3.803
_cell_length_c 3.546
_cell_angle_alpha 90.00
_cell_angle_beta 90.00
_cell_angle_gamma 90.00
_space_group_name_H-M_alt 'P 4/n m m'
_space_group_IT_number 129
loop_
_space_group_symop_operation_xyz
'x,y,z'
'-x,-y,-z'
'-y+1/2,x,z'
'y+1/2,-x,-z'
'-x+1/2,-y+1/2,z'
'x+1/2,y+1/2,-z'
'y,-x+1/2,z'
'-y,x+1/2,-z'
'x+1/2,-y,-z'
'-x+1/2,y,z'
'-y,-x,-z'
'y,x,z'
'-x,y+1/2,-z'
'x,-y+1/2,z'
'y+1/2,x+1/2,-z'
'-y+1/2,-x+1/2,z'
loop_
_atom_site_label
_atom_site_fract_x
_atom_site_fract_y
_atom_site_fract_z
Cu1 0.250 0.250 0.001
P1 0.250 0.750 0.500
```

No. 6
Computed, not measured: CuP3 at its PBEsol-relaxed geometry at the meta-GGA SCAN level of DFT.

Computed properties:
**Calculated total energy**: -0.402 hartree per atom
**DFT formation energy**: 63 kJ per mole of atoms

The structure in CIF format:
```
data_CuP3
_chemical_formula_sum 'Cu1 P3'
_cell_length_a 4.543
_cell_length_b 4.543
_cell_length_c 2.579
_cell_angle_alpha 90.00
_cell_angle_beta 90.00
_cell_angle_gamma 90.00
_space_group_name_H-M_alt 'P 4/m m m'
_space_group_IT_number 123
_space_group_name_Hall '-P 4 2'
loop_
_atom_site_label
_atom_site_fract_x
_atom_site_fract_y
_atom_site_fract_z
Cu1 0.000 0.000 0.000
P1 0.000 0.500 0.500
P2 0.500 0.500 0.000
```

Magnetization? In order: 0.0, 0.0, 0.0, 0.0, 0.0, 0.0 μB/f.u..